1.
A relaxed structure of TiH3I. Source: Alexandria, functional GGA-PBE.

* energy relative to the lowest polymorph listed for this composition: 1107 meV per atom

Unit cell a=4.0669 b=4.0669 c=4.0669 alpha=90.00 beta=90.00 gamma=90.00
Last column: nearest neighbours and their distance in Å.
Positions (direct):
I  0.0000  0.0000  0.0000  6 H 2.03
H  0.0000  0.5000  0.0000  2 I 2.03
H  0.0000  0.0000  0.5000  2 I 2.03
H  0.5000  0.0000  0.0000  2 I 2.03
Ti  0.5000  0.5000  0.5000  12 H 2.88

***

2.
A relaxed structure of TiHI3. Source: Alexandria, functional GGA-PBE.

* energy relative to the lowest polymorph listed for this composition: 1058 meV per atom

Unit cell a=5.0855 b=5.0855 c=5.0855 alpha=90.00 beta=90.00 gamma=90.00
Last column: nearest neighbours and their distance in Å.
Positions (direct):
I  0.0000  0.5000  0.0000  2 H 2.54
I  0.0000  0.0000  0.5000  2 H 2.54
I  0.5000  0.0000  0.0000  2 H 2.54
H  0.0000  0.0000  0.0000  6 I 2.54
Ti  0.5000  0.5000  0.5000  12 I 3.60

***

3.
A relaxed structure of TiHI2. Source: Alexandria, functional GGA-PBE.

Unit cell a=3.8398 b=3.8273 c=8.0144 alpha=103.81 beta=103.86 gamma=90.00
Last column: nearest neighbours and their distance in Å.
Positions (direct):
Ti  0.5000  0.0089  0.0000  2 H 1.91
H  0.5000  0.5088  0.0000  2 Ti 1.91
I  0.1318  0.1410  0.2636  2 Ti 2.76
I  0.8683  0.8774  0.7364  2 Ti 2.76

***

4.
A relaxed structure of TiHI3. Source: Alexandria, functional GGA-PBE.

* energy relative to the lowest polymorph listed for this composition: 386 meV per atom

Unit cell a=5.5933 b=5.5933 c=5.5933 alpha=90.00 beta=90.00 gamma=90.00
Last column: nearest neighbours and their distance in Å.
Positions (direct):
I  0.0000  0.5000  0.0000  2 Ti 2.80
I  0.0000  0.0000  0.5000  2 Ti 2.80
I  0.5000  0.0000  0.0000  2 Ti 2.80
H  0.5000  0.5000  0.5000  12 I 3.96
Ti  0.0000  0.0000  0.0000  6 I 2.80

***

Number 1: E_tot -2.543 eV per atom, D(E_F) 3.392 states/eV per cell. Number 2: E_tot -2.482 eV per atom, D(E_F) 7.262 states/eV per cell. Number 3: E_tot -4.042 eV per atom, D(E_F) 2.606 states/eV per cell. Number 4: E_tot -3.154 eV per atom, D(E_F) 3.349 states/eV per cell.